1.
## TbY2In3IrAu2 (PBE)

Data for TbY2In3IrAu2 after structural relaxation.

spin magnetization = 0.0 μB per cell
symmetry = No. 38
raw total energy = -47.85 eV per cell

a = 3.954 Å, b = 7.723 Å, c = 7.723 Å
α = 120.07°, β = 90.00°, γ = 90.00°
Positions (direct):
In (0.500, 0.999, 0.255)
In (0.500, 0.745, 0.745)
In (0.500, 0.255, 0.999)
Au (0.500, 0.666, 0.333)
Au (0.500, 0.333, 0.666)
Y (0.000, 0.603, 0.000)
Y (0.000, 0.000, 0.603)
Ir (0.000, 0.001, 0.001)
Tb (0.000, 0.397, 0.397)

2.
## InTe4IrAu3 (PBE)

Data for InTe4IrAu3 after structural relaxation.

spin magnetization = 0.0 μB per cell
symmetry = No. 215
raw total energy = -32.82 eV per cell

a = 6.549 Å, b = 6.549 Å, c = 6.549 Å
α = 90.00°, β = 90.00°, γ = 90.00°
Positions (direct):
In (0.000, 0.000, 0.000)
Te (0.268, 0.732, 0.732)
Te (0.732, 0.732, 0.268)
Te (0.732, 0.268, 0.732)
Te (0.268, 0.268, 0.268)
Ir (0.500, 0.500, 0.500)
Au (0.000, 0.500, 0.500)
Au (0.500, 0.000, 0.500)
Au (0.500, 0.500, 0.000)

3.
## Tm3In3IrAu2 (PBE)

Data for Tm3In3IrAu2 after structural relaxation.

spin magnetization = 0.0 μB per cell
symmetry = No. 189
raw total energy = -43.58 eV per cell

a = 7.642 Å, b = 7.642 Å, c = 3.894 Å
α = 90.00°, β = 90.00°, γ = 120.00°
Positions (direct):
Tm (0.000, 0.396, 0.000)
Tm (0.604, 0.604, 0.000)
Tm (0.396, 0.000, 0.000)
In (0.257, 0.257, 0.500)
In (0.743, 0.000, 0.500)
In (0.000, 0.743, 0.500)
Au (0.667, 0.333, 0.500)
Au (0.333, 0.667, 0.500)
Ir (0.000, 0.000, 0.000)

| no. | calculated density (g cm⁻³) |
| --- | --- |
| 1 | 10.31 |
| 2 | 8.32 |
| 3 | 12.12 |